No. 1
{"formula": "ThMgAl2", "functional": "PBE-GGA", "state": "optimized geometry", "lattice": [[-0.013, 1.435, -4.329], [-1.877, -2.586, -3.254], [-5.214, 1.952, -1.740]], "species": ["Mg", "Al", "Al", "Th"], "fractional_positions": [[0.500, 0.500, 0.500], [0.786, 0.786, 0.643], [0.214, 0.214, 0.357], [0.000, 0.000, 0.000]], "crystal_system": "trigonal", "magnetic_moment_mub_per_fu": 0.0, "ef_ev_per_atom": -0.14, "e_above_lowest_polymorph_mev_per_atom": 72, "n_ef_per_ev_cell": 2.25}

---

No. 2
{"formula": "Th2Mg2Al15", "functional": "PBE-GGA", "state": "optimized geometry", "lattice": [[-2.589, -4.394, -4.996], [6.178, -3.135, -1.724], [-0.726, -5.758, 4.159]], "species": ["Th", "Th", "Mg", "Mg", "Al", "Al", "Al", "Al", "Al", "Al", "Al", "Al", "Al", "Al", "Al", "Al", "Al", "Al", "Al"], "fractional_positions": [[0.347, 0.347, 0.347], [0.653, 0.653, 0.653], [0.103, 0.103, 0.103], [0.897, 0.897, 0.897], [0.500, 0.000, 0.000], [0.000, 0.000, 0.500], [0.000, 0.500, 0.000], [0.000, 0.703, 0.297], [0.703, 0.297, 0.000], [0.297, 0.000, 0.703], [0.297, 0.703, 0.000], [0.703, 0.000, 0.297], [0.000, 0.297, 0.703], [0.156, 0.648, 0.648], [0.648, 0.648, 0.156], [0.648, 0.156, 0.648], [0.844, 0.352, 0.352], [0.352, 0.352, 0.844], [0.352, 0.844, 0.352]], "crystal_system": "trigonal", "magnetic_moment_mub_per_fu": 0.0, "ef_ev_per_atom": -0.15, "n_ef_per_ev_cell": 11.17}

---

No. 3
{"formula": "ThMg2Al2", "functional": "PBE-GGA", "state": "optimized geometry", "lattice": [[-2.558, -1.532, -3.263], [-0.071, -3.854, 1.866], [-8.599, 5.908, 6.961]], "species": ["Th", "Th", "Mg", "Mg", "Mg", "Mg", "Al", "Al", "Al", "Al"], "fractional_positions": [[0.828, 0.578, 0.656], [0.172, 0.422, 0.344], [0.548, 0.298, 0.096], [0.951, 0.201, 0.902], [0.452, 0.702, 0.904], [0.049, 0.799, 0.098], [0.725, 0.975, 0.449], [0.275, 0.025, 0.551], [0.379, 0.129, 0.757], [0.621, 0.871, 0.243]], "crystal_system": "orthorhombic", "magnetic_moment_mub_per_fu": 0.0, "ef_ev_per_atom": -0.22, "n_ef_per_ev_cell": 4.13}

---

No. 4
{"formula": "ThMg3Al2", "functional": "PBE-GGA", "state": "optimized geometry", "lattice": [[0.698, -4.287, -1.433], [7.514, 0.358, -4.714], [7.433, -2.311, 3.234]], "species": ["Th", "Th", "Mg", "Mg", "Mg", "Mg", "Mg", "Mg", "Al", "Al", "Al", "Al"], "fractional_positions": [[0.860, 0.064, 0.216], [0.140, 0.936, 0.784], [0.309, 0.471, 0.911], [0.955, 0.376, 0.715], [0.608, 0.279, 0.504], [0.392, 0.721, 0.496], [0.045, 0.624, 0.285], [0.691, 0.529, 0.089], [0.477, 0.162, 0.883], [0.523, 0.838, 0.117], [0.791, 0.741, 0.678], [0.209, 0.259, 0.322]], "crystal_system": "monoclinic", "magnetic_moment_mub_per_fu": 0.0, "ef_ev_per_atom": -0.12, "n_ef_per_ev_cell": 4.52}

---

No. 5
{"formula": "ThMg2Al9", "functional": "PBE-GGA", "state": "optimized geometry", "lattice": [[-5.375, -1.317, 0.258], [-2.499, -2.309, -4.372], [-0.555, -9.074, 1.600]], "species": ["Th", "Mg", "Mg", "Al", "Al", "Al", "Al", "Al", "Al", "Al", "Al", "Al"], "fractional_positions": [[0.000, 0.000, 0.000], [0.856, 0.856, 0.431], [0.144, 0.144, 0.569], [0.665, 0.665, 0.004], [0.335, 0.335, 0.996], [0.500, 0.500, 0.500], [0.414, 0.414, 0.251], [0.921, 0.414, 0.251], [0.414, 0.921, 0.251], [0.586, 0.586, 0.749], [0.586, 0.079, 0.749], [0.079, 0.586, 0.749]], "crystal_system": "trigonal", "magnetic_moment_mub_per_fu": 0.0, "ef_ev_per_atom": -0.12, "n_ef_per_ev_cell": 5.78}

---

No. 6
{"formula": "YThMgAl", "functional": "PBE-GGA", "state": "optimized geometry", "lattice": [[5.275, 0.000, 0.000], [2.638, 4.568, 0.000], [2.638, 1.523, 4.307]], "species": ["Y", "Mg", "Al", "Th"], "fractional_positions": [[0.750, 0.750, 0.750], [0.000, 0.000, 0.000], [0.500, 0.500, 0.500], [0.250, 0.250, 0.250]], "crystal_system": "cubic", "magnetic_moment_mub_per_fu": 0.0, "ef_ev_per_atom": -0.17, "n_ef_per_ev_cell": 2.74}

---

No. 7
{"formula": "ThMgAlZn2", "functional": "PBE-GGA", "state": "optimized geometry", "lattice": [[-2.227, -3.660, -0.071], [0.902, -0.629, 4.141], [-3.946, 4.921, -0.610]], "species": ["Th", "Mg", "Al", "Zn", "Zn"], "fractional_positions": [[0.000, 0.000, 0.000], [0.250, 0.750, 0.500], [0.750, 0.250, 0.500], [0.610, 0.610, 0.219], [0.390, 0.390, 0.781]], "crystal_system": "tetragonal", "magnetic_moment_mub_per_fu": 0.0, "ef_ev_per_atom": -0.29, "n_ef_per_ev_cell": 2.17}

---

No. 8
{"formula": "Th2MgAl4Zn3", "functional": "PBE-GGA", "state": "optimized geometry", "lattice": [[4.271, 0.000, 0.000], [0.000, 4.271, 0.000], [0.000, 0.000, 11.071]], "species": ["Th", "Th", "Mg", "Al", "Al", "Al", "Al", "Zn", "Zn", "Zn"], "fractional_positions": [[0.500, 0.000, 0.243], [0.000, 0.500, 0.757], [0.500, 0.500, 0.500], [0.500, 0.500, 0.000], [0.000, 0.000, 0.000], [0.500, 0.000, 0.647], [0.000, 0.500, 0.353], [0.000, 0.000, 0.500], [0.500, 0.000, 0.868], [0.000, 0.500, 0.132]], "crystal_system": "tetragonal", "magnetic_moment_mub_per_fu": 0.0, "ef_ev_per_atom": -0.31, "n_ef_per_ev_cell": 3.25}